A plane-wave DFT calculation with GGA-PBE was carried out for a geometry-optimized CrInPt2 structure.

a = 3.966 Å, b = 3.966 Å, c = 17.849 Å
α = 90.00°, β = 90.00°, γ = 90.00°
Space group I-42d (No. 122)
Asymmetric unit:
Cr  0.000  0.000  0.000 (multiplicity 4)
In  0.000  0.000  0.500 (multiplicity 4)
Pt  0.232  0.250  0.125 (multiplicity 8)

Results
E_form: 0.31 eV per atom
total magnetization: 0.00 μB per atom
N(E_F): 19.66 states/eV/cell